Record 1
Here is a relaxed CeDy2Cd crystal from Alexandria via LeMat-Bulk. Energies are from PBE.

Properties
Formation energy (eV per atom): -0.112
Energy above the lowest structure with this stoichiometry (eV/atom): 0.000
Volume (Å³/cell): 111.99
N(E_F) (states/eV per cell): 6.73

Structure (CIF):
```
data_CeDy2Cd
_symmetry_space_group_name_H-M 'P 4/m m m'
_symmetry_Int_Tables_number 123
_symmetry_space_group_name_Hall '-P 4 2'
_cell_length_a 3.5450
_cell_length_b 3.5450
_cell_length_c 8.9119
_cell_angle_alpha 90.00
_cell_angle_beta 90.00
_cell_angle_gamma 90.00
loop_
_atom_site_label
_atom_site_type_symbol
_atom_site_fract_x
_atom_site_fract_y
_atom_site_fract_z
_atom_site_occupancy
Ce1 Ce 0.0000 0.0000 0.0000 1
Dy1 Dy 0.5000 0.5000 0.2664 1
Cd1 Cd 0.0000 0.0000 0.5000 1
```

Record 2
Here is a relaxed CeDyCd4 crystal from Alexandria via LeMat-Bulk. Energies are from PBE.

Properties
Formation energy (eV per atom): -0.278
Energy above the lowest structure with this stoichiometry (eV/atom): 0.000
Volume (Å³/cell): 147.84
N(E_F) (states/eV per cell): 9.19

Structure (CIF):
```
data_CeDyCd4
_symmetry_space_group_name_H-M 'P m m m'
_symmetry_Int_Tables_number 47
_cell_length_a 3.3258
_cell_length_b 5.0665
_cell_length_c 8.7741
_cell_angle_alpha 90.00
_cell_angle_beta 90.00
_cell_angle_gamma 90.00
loop_
_symmetry_equiv_pos_as_xyz
'x,y,z'
'-x,-y,-z'
'-x,-y,z'
'x,y,-z'
'x,-y,-z'
'-x,y,z'
'-x,y,-z'
'x,-y,z'
loop_
_atom_site_label
_atom_site_type_symbol
_atom_site_fract_x
_atom_site_fract_y
_atom_site_fract_z
_atom_site_occupancy
Ce1 Ce 0.0000 0.0000 0.0000 1
Dy1 Dy 0.0000 0.5000 0.5000 1
Cd1 Cd 0.5000 0.0000 0.3370 1
Cd2 Cd 0.5000 0.5000 0.1708 1
```

Record 3
Here is a relaxed CeDy2Cd4 crystal from Alexandria via LeMat-Bulk. Energies are from PBE.

Properties
Formation energy (eV per atom): -0.071
Volume (Å³/cell): 201.38
N(E_F) (states/eV per cell): 10.52

Structure (CIF):
```
data_CeDy2Cd4
_symmetry_space_group_name_H-M 'P 4/m m m'
_symmetry_Int_Tables_number 123
_symmetry_space_group_name_Hall '-P 4 2'
_cell_length_a 5.2835
_cell_length_b 5.2835
_cell_length_c 7.2139
_cell_angle_alpha 90.00
_cell_angle_beta 90.00
_cell_angle_gamma 90.00
loop_
_atom_site_label
_atom_site_type_symbol
_atom_site_fract_x
_atom_site_fract_y
_atom_site_fract_z
_atom_site_occupancy
Ce1 Ce 0.0000 0.0000 0.0000 1
Dy1 Dy 0.0000 0.0000 0.5000 1
Dy2 Dy 0.5000 0.5000 0.0000 1
Cd1 Cd 0.0000 0.5000 0.2722 1
```

Record 4
Here is a relaxed CeDy2Cd crystal from Alexandria via LeMat-Bulk. Energies are from PBE.

Properties
Formation energy (eV per atom): -0.013
Energy above the lowest structure with this stoichiometry (eV/atom): 0.099
Volume (Å³/cell): 350.88
N(E_F) (states/eV per cell): 21.89

Structure (CIF):
```
data_CeDy2Cd
_symmetry_space_group_name_H-M 'R 3 m'
_symmetry_Int_Tables_number 160
_symmetry_space_group_name_Hall 'R 3 -2"'
_cell_length_a 3.5225
_cell_length_b 3.5225
_cell_length_c 32.6531
_cell_angle_alpha 90.00
_cell_angle_beta 90.00
_cell_angle_gamma 120.00
loop_
_atom_site_label
_atom_site_type_symbol
_atom_site_fract_x
_atom_site_fract_y
_atom_site_fract_z
_atom_site_occupancy
Ce1 Ce 0.0000 0.0000 0.0000 1
Dy1 Dy 0.0000 0.0000 0.5780 1
Dy2 Dy 0.0000 0.0000 0.7558 1
Cd1 Cd 0.0000 0.0000 0.1667 1
```

Record 5
Here is a relaxed CeDyCd2 crystal from Alexandria via LeMat-Bulk. Energies are from PBE.

Properties
Formation energy (eV per atom): -0.210
Energy above the lowest structure with this stoichiometry (eV/atom): 0.008
Volume (Å³/cell): 435.44
N(E_F) (states/eV per cell): 40.89

Structure (CIF):
```
data_CeDyCd2
_symmetry_space_group_name_H-M 'F m -3 m'
_symmetry_Int_Tables_number 225
_symmetry_space_group_name_Hall '-F 4 2 3'
_cell_length_a 7.5795
_cell_length_b 7.5795
_cell_length_c 7.5795
_cell_angle_alpha 90.00
_cell_angle_beta 90.00
_cell_angle_gamma 90.00
loop_
_atom_site_label
_atom_site_type_symbol
_atom_site_fract_x
_atom_site_fract_y
_atom_site_fract_z
_atom_site_occupancy
Ce1 Ce 0.0000 0.0000 0.0000 1
Dy1 Dy 0.0000 0.0000 0.5000 1
Cd1 Cd 0.2500 0.2500 0.2500 1
```

Record 6
Here is a relaxed CeDyCd2 crystal from Alexandria via LeMat-Bulk. Energies are from PBE.

Properties
Formation energy (eV per atom): -0.074
Energy above the lowest structure with this stoichiometry (eV/atom): 0.144
Volume (Å³/cell): 326.57
N(E_F) (states/eV per cell): 19.95

Structure (CIF):
```
data_CeDyCd2
_symmetry_space_group_name_H-M 'R -3 m'
_symmetry_Int_Tables_number 166
_symmetry_space_group_name_Hall '-R 3 2"'
_cell_length_a 3.4469
_cell_length_b 3.4469
_cell_length_c 31.7399
_cell_angle_alpha 90.00
_cell_angle_beta 90.00
_cell_angle_gamma 120.00
loop_
_atom_site_label
_atom_site_type_symbol
_atom_site_fract_x
_atom_site_fract_y
_atom_site_fract_z
_atom_site_occupancy
Ce1 Ce 0.0000 0.0000 0.0000 1
Dy1 Dy 0.0000 0.0000 0.5000 1
Cd1 Cd 0.0000 0.0000 0.2476 1
```

Record 7
Here is a relaxed CeDy2Cd6 crystal from Alexandria via LeMat-Bulk. Energies are from PBE.

Properties
Formation energy (eV per atom): -0.290
Volume (Å³/cell): 221.31
N(E_F) (states/eV per cell): 11.84

Structure (CIF):
```
data_CeDy2Cd6
_symmetry_space_group_name_H-M 'P 6/m m m'
_symmetry_Int_Tables_number 191
_symmetry_space_group_name_Hall '-P 6 2'
_cell_length_a 8.7064
_cell_length_b 8.7064
_cell_length_c 3.3712
_cell_angle_alpha 90.00
_cell_angle_beta 90.00
_cell_angle_gamma 120.00
loop_
_atom_site_label
_atom_site_type_symbol
_atom_site_fract_x
_atom_site_fract_y
_atom_site_fract_z
_atom_site_occupancy
Ce1 Ce 0.0000 0.0000 0.0000 1
Dy1 Dy 0.3333 0.6667 0.0000 1
Cd1 Cd 0.0000 0.3359 0.5000 1
```

Record 8
Here is a relaxed Ce2DyCd6 crystal from Alexandria via LeMat-Bulk. Energies are from PBE.

Properties
Formation energy (eV per atom): -0.271
Volume (Å³/cell): 222.54
N(E_F) (states/eV per cell): 15.96

Structure (CIF):
```
data_Ce2DyCd6
_symmetry_space_group_name_H-M 'P 6/m m m'
_symmetry_Int_Tables_number 191
_symmetry_space_group_name_Hall '-P 6 2'
_cell_length_a 8.8090
_cell_length_b 8.8090
_cell_length_c 3.3115
_cell_angle_alpha 90.00
_cell_angle_beta 90.00
_cell_angle_gamma 120.00
loop_
_atom_site_label
_atom_site_type_symbol
_atom_site_fract_x
_atom_site_fract_y
_atom_site_fract_z
_atom_site_occupancy
Ce1 Ce 0.3333 0.6667 0.0000 1
Dy1 Dy 0.0000 0.0000 0.0000 1
Cd1 Cd 0.0000 0.3305 0.5000 1
```

Record 9
Here is a relaxed CeDyCdGa crystal from Alexandria via LeMat-Bulk. Energies are from PBE.

Properties
Formation energy (eV per atom): -0.356
Volume (Å³/cell): 405.42
N(E_F) (states/eV per cell): 35.78

Structure (CIF):
```
data_CeDyCdGa
_symmetry_space_group_name_H-M 'F -4 3 m'
_symmetry_Int_Tables_number 216
_symmetry_space_group_name_Hall 'F -4 2 3'
_cell_length_a 7.4012
_cell_length_b 7.4012
_cell_length_c 7.4012
_cell_angle_alpha 90.00
_cell_angle_beta 90.00
_cell_angle_gamma 90.00
loop_
_atom_site_label
_atom_site_type_symbol
_atom_site_fract_x
_atom_site_fract_y
_atom_site_fract_z
_atom_site_occupancy
Ce1 Ce 0.0000 0.0000 0.0000 1
Dy1 Dy 0.0000 0.0000 0.5000 1
Cd1 Cd 0.2500 0.2500 0.7500 1
Ga1 Ga 0.2500 0.2500 0.2500 1
```

Record 10
Here is a relaxed CeGdDyCd crystal from Alexandria via LeMat-Bulk. Energies are from PBE.

Properties
Formation energy (eV per atom): 0.036
Volume (Å³/cell): 449.32
N(E_F) (states/eV per cell): 31.74

Structure (CIF):
```
data_CeGdDyCd
_symmetry_space_group_name_H-M 'F -4 3 m'
_symmetry_Int_Tables_number 216
_symmetry_space_group_name_Hall 'F -4 2 3'
_cell_length_a 7.6592
_cell_length_b 7.6592
_cell_length_c 7.6592
_cell_angle_alpha 90.00
_cell_angle_beta 90.00
_cell_angle_gamma 90.00
loop_
_atom_site_label
_atom_site_type_symbol
_atom_site_fract_x
_atom_site_fract_y
_atom_site_fract_z
_atom_site_occupancy
Ce1 Ce 0.0000 0.0000 0.0000 1
Gd1 Gd 0.2500 0.2500 0.7500 1
Dy1 Dy 0.2500 0.2500 0.2500 1
Cd1 Cd 0.0000 0.0000 0.5000 1
```

Record 11
Here is a relaxed CeDyCdGe crystal from Alexandria via LeMat-Bulk. Energies are from PBE.

Properties
Formation energy (eV per atom): -0.417
Volume (Å³/cell): 398.85
N(E_F) (states/eV per cell): 31.17

Structure (CIF):
```
data_CeDyCdGe
_symmetry_space_group_name_H-M 'F -4 3 m'
_symmetry_Int_Tables_number 216
_symmetry_space_group_name_Hall 'F -4 2 3'
_cell_length_a 7.3610
_cell_length_b 7.3610
_cell_length_c 7.3610
_cell_angle_alpha 90.00
_cell_angle_beta 90.00
_cell_angle_gamma 90.00
loop_
_atom_site_label
_atom_site_type_symbol
_atom_site_fract_x
_atom_site_fract_y
_atom_site_fract_z
_atom_site_occupancy
Ce1 Ce 0.0000 0.0000 0.0000 1
Dy1 Dy 0.0000 0.0000 0.5000 1
Cd1 Cd 0.2500 0.2500 0.2500 1
Ge1 Ge 0.2500 0.2500 0.7500 1
```

Record 12
Here is a relaxed CeDyCdHg crystal from Alexandria via LeMat-Bulk. Energies are from PBE.

Properties
Formation energy (eV per atom): -0.286
Volume (Å³/cell): 433.34
N(E_F) (states/eV per cell): 43.74

Structure (CIF):
```
data_CeDyCdHg
_symmetry_space_group_name_H-M 'F -4 3 m'
_symmetry_Int_Tables_number 216
_symmetry_space_group_name_Hall 'F -4 2 3'
_cell_length_a 7.5673
_cell_length_b 7.5673
_cell_length_c 7.5673
_cell_angle_alpha 90.00
_cell_angle_beta 90.00
_cell_angle_gamma 90.00
loop_
_atom_site_label
_atom_site_type_symbol
_atom_site_fract_x
_atom_site_fract_y
_atom_site_fract_z
_atom_site_occupancy
Ce1 Ce 0.0000 0.0000 0.0000 1
Dy1 Dy 0.0000 0.0000 0.5000 1
Cd1 Cd 0.2500 0.2500 0.7500 1
Hg1 Hg 0.2500 0.2500 0.2500 1
```

Record 13
Here is a relaxed Ce2DyCd2Hg2 crystal from Alexandria via LeMat-Bulk. Energies are from PBE.

Properties
Formation energy (eV per atom): -0.185
Volume (Å³/cell): 533.64
N(E_F) (states/eV per cell): 39.76

Structure (CIF):
```
data_Ce2DyCd2Hg2
_symmetry_space_group_name_H-M 'R -3 m'
_symmetry_Int_Tables_number 166
_symmetry_space_group_name_Hall '-R 3 2"'
_cell_length_a 4.8690
_cell_length_b 4.8690
_cell_length_c 25.9918
_cell_angle_alpha 90.00
_cell_angle_beta 90.00
_cell_angle_gamma 120.00
loop_
_atom_site_label
_atom_site_type_symbol
_atom_site_fract_x
_atom_site_fract_y
_atom_site_fract_z
_atom_site_occupancy
Ce1 Ce 0.0000 0.0000 0.1381 1
Dy1 Dy 0.0000 0.0000 0.0000 1
Cd1 Cd 0.0000 0.0000 0.2679 1
Hg1 Hg 0.0000 0.0000 0.4011 1
```

Record 14
Here is a relaxed Ce2DyCd2In2 crystal from Alexandria via LeMat-Bulk. Energies are from PBE.

Properties
Formation energy (eV per atom): -0.201
Volume (Å³/cell): 542.34
N(E_F) (states/eV per cell): 37.70

Structure (CIF):
```
data_Ce2DyCd2In2
_symmetry_space_group_name_H-M 'R -3 m'
_symmetry_Int_Tables_number 166
_symmetry_space_group_name_Hall '-R 3 2"'
_cell_length_a 4.8125
_cell_length_b 4.8125
_cell_length_c 27.0394
_cell_angle_alpha 90.00
_cell_angle_beta 90.00
_cell_angle_gamma 120.00
loop_
_atom_site_label
_atom_site_type_symbol
_atom_site_fract_x
_atom_site_fract_y
_atom_site_fract_z
_atom_site_occupancy
Ce1 Ce 0.0000 0.0000 0.1433 1
Dy1 Dy 0.0000 0.0000 0.0000 1
Cd1 Cd 0.0000 0.0000 0.4129 1
In1 In 0.0000 0.0000 0.2706 1
```